A plane-wave DFT calculation with PBE with a Hubbard U was carried out for a geometry-optimized Sr2VMoO6 structure.

For the energy above the lowest structure with this stoichiometry, the calculation gives 31 meV/atom. Its total energy is -142.7 eV/cell. The space group is Amm2, No. 38.

```
Sr2VMoO6
1.0
5.6306 0.0000 0.0000
0.0000 6.9646 0.0089
0.0000 -2.2539 6.5898
V O Sr Mo
2 12 4 2
direct
0.5000 0.5020 0.4980 V
0.5000 0.0000 0.0000 V
0.5000 0.2621 0.2674 O
0.0000 0.0047 0.5046 O
0.7490 0.8761 0.1239 O
0.7537 0.3747 0.6253 O
0.7543 0.1247 0.8753 O
0.2463 0.3747 0.6253 O
0.5000 0.7326 0.7379 O
0.7460 0.6240 0.3760 O
0.2510 0.8761 0.1239 O
0.2540 0.6240 0.3760 O
0.2457 0.1247 0.8753 O
0.0000 0.4954 0.9953 O
0.5000 0.5058 0.0009 Sr
0.0000 0.2477 0.2487 Sr
0.5000 0.9991 0.4942 Sr
0.0000 0.7513 0.7523 Sr
0.0000 0.2511 0.7489 Mo
0.0000 0.7484 0.2516 Mo
```